# 1
PBE Ba2InIr, relaxed; energy of formation = -0.8 eV per formula unit; space group = Pm, No. 6
1.0
4.8542 0.0000 0.0000
0.0000 4.7172 0.0000
-2.4258 0.0000 6.2191
Ba In Ir
2 1 1
Direct
0.0000 0.0000 0.0000
0.2795 0.5000 0.5585
0.6980 0.0000 0.3958
0.5931 0.5000 0.1836

---

# 2
PBE BaIn2Ir, relaxed; energy of formation = -1.5 eV per formula unit; space group = Cmcm, No. 63
1.0
2.2024 -5.9169 0.0000
2.2024 5.9169 0.0000
0.0000 0.0000 8.2526
Ba In Ir
2 4 2
Direct
0.0537 0.9463 0.7500
0.9463 0.0537 0.2500
0.3359 0.6641 0.5546
0.3359 0.6641 0.9454
0.6641 0.3359 0.0546
0.6641 0.3359 0.4454
0.2211 0.7789 0.2500
0.7789 0.2211 0.7500

---

# 3
PBE Ba2InIr, relaxed; energy of formation = 0.2 eV per formula unit; space group = Cmmm, No. 65
1.0
3.8288 -3.8388 0.0000
3.8288 3.8388 0.0000
0.0000 0.0000 4.3269
Ba In Ir
2 1 1
Direct
0.0000 0.5000 0.0000
0.5000 0.0000 0.0000
0.0000 0.0000 0.5000
0.5000 0.5000 0.5000

---

# 4
PBE BaIn2Ir, relaxed; energy of formation = 1.6 eV per formula unit; space group = Cmmm, No. 65
1.0
3.0261 -5.2246 0.0000
3.0261 5.2246 0.0000
0.0000 0.0000 3.2835
Ba In Ir
1 2 1
Direct
0.0000 0.0000 0.0000
0.0000 0.5000 0.5000
0.5000 0.0000 0.5000
0.5000 0.5000 0.0000